Entry 1:
MnTePbN2: relaxed, PBE.

a b c (Å): 3.9804 3.9804 5.4538
angles (deg): 90.00 90.00 90.00
Last column: nearest neighbours and their distance in Å.
Element x y z (fractional)
1 Pb 0.5000 0.5000 0.5000  4 Te 2.81
2 Te 0.0000 0.0000 0.5000  2 Mn 2.73, 4 Pb 2.81
3 Mn 0.0000 0.0000 0.0000  4 N 1.99
4 N 0.0000 0.5000 0.0000  2 Mn 1.99
5 N 0.5000 0.0000 0.0000  2 Mn 1.99

Output
- Density of states at the Fermi level: 4.58 states/eV per cell
- Symmetry: P4/mmm
- Distance to the lowest polymorph of the same formula: 0 meV/atom
- ρ: 8.03 g cm⁻³
- Energy relative to the elements, uncorrected: 0.958 eV/atom

Entry 2:
Ga2Ag2Rh: relaxed, PBE.

a b c (Å): 6.5867 6.5867 3.9005
angles (deg): 90.00 90.00 90.00
Last column: nearest neighbours and their distance in Å.
Element x y z (fractional)
1 Rh 0.0000 0.0000 0.0000  4 Ga 2.52
2 Rh 0.5000 0.5000 0.0000  4 Ga 2.52
3 Ga 0.3531 0.8531 0.0000  2 Rh 2.52, 6 Ag 2.65-2.81, 1 Ga 2.74
4 Ga 0.8531 0.6469 0.0000  2 Rh 2.52, 6 Ag 2.65-2.81, 1 Ga 2.74
5 Ga 0.6469 0.1469 0.0000  2 Rh 2.52, 6 Ag 2.65-2.81, 1 Ga 2.74
6 Ga 0.1469 0.3531 0.0000  2 Rh 2.52, 6 Ag 2.65-2.81, 1 Ga 2.74
7 Ag 0.1603 0.6603 0.5000  6 Ga 2.65-2.81
8 Ag 0.6603 0.8397 0.5000  6 Ga 2.65-2.81
9 Ag 0.8397 0.3397 0.5000  6 Ga 2.65-2.81
10 Ag 0.3397 0.1603 0.5000  6 Ga 2.65-2.81

Output
- Density of states at the Fermi level: 3.58 states/eV per cell
- Symmetry: P4/mbm
- DFT total energy: -0.142 Ha/atom
- ρ: 8.99 g cm⁻³